(1)
Compound: LaPr3Se3O4
Source: OQMD
Functional: PBE-GGA
Structure: optimized geometry

Lattice parameters (Å, degrees): 8.491 6.853 6.853 34.40 90.00 90.00
Positions (direct):
La 0.000 0.000 0.000
Pr 0.238 0.685 0.685
Pr 0.500 0.017 0.017
Pr 0.762 0.685 0.685
Se 0.000 0.311 0.311
Se 0.351 0.357 0.357
Se 0.649 0.357 0.357
O 0.000 0.588 0.588
O 0.245 0.089 0.089
O 0.500 0.616 0.616
O 0.755 0.089 0.089

Its space-group type is No. 38. The magnetization comes out at 0.004 μB per formula unit. For the electronic total energy, the calculation gives -7.27 eV/atom. The distance to the lowest polymorph of the same formula is 0 meV per atom.



(2)
Compound: KNa6TaO6
Source: OQMD
Functional: PBE-GGA
Structure: optimized geometry

Lattice parameters (Å, degrees): 5.941 5.941 5.941 102.60 102.60 102.60
Positions (direct):
K 0.000 0.000 0.000
Na 0.159 0.500 0.841
Na 0.159 0.841 0.500
Na 0.500 0.159 0.841
Na 0.500 0.841 0.159
Na 0.841 0.159 0.500
Na 0.841 0.500 0.159
Ta 0.500 0.500 0.500
O 0.243 0.243 0.553
O 0.243 0.553 0.243
O 0.447 0.757 0.757
O 0.553 0.243 0.243
O 0.757 0.447 0.757
O 0.757 0.757 0.447

Its space-group type is No. 166. The magnetization comes out at 0.000 μB per formula unit. For the electronic total energy, the calculation gives -5.34 eV/atom.



(3)
Compound: NdLuFe2Si2
Source: OQMD
Functional: PBE-GGA
Structure: optimized geometry

Lattice parameters (Å, degrees): 4.026 4.026 6.599 90.00 90.00 90.00
Positions (direct):
Nd 0.000 0.000 0.000
Lu 0.500 0.500 0.369
Fe 0.000 0.500 0.662
Fe 0.500 0.000 0.662
Si 0.000 0.000 0.491
Si 0.500 0.500 0.839

Its space-group type is No. 99. The magnetization comes out at 0.031 μB per formula unit. For the electronic total energy, the calculation gives -6.73 eV/atom.



(4)
Compound: TbFeIr
Source: OQMD
Functional: PBE-GGA
Structure: optimized geometry

Lattice parameters (Å, degrees): 4.496 4.496 4.496 60.00 60.00 60.00
Positions (direct):
Tb 0.000 0.000 0.000
Fe 0.500 0.500 0.500
Ir 0.250 0.250 0.250

Its space-group type is No. 216. The magnetization comes out at 3.548 μB per formula unit. For the electronic total energy, the calculation gives -7.27 eV/atom.



(5)
Compound: HfInAgTe2Se
Source: OQMD
Functional: PBE-GGA
Structure: optimized geometry

Lattice parameters (Å, degrees): 7.770 7.770 10.546 90.00 90.00 149.37
Positions (direct):
Hf 0.000 0.000 0.000
Hf 0.000 0.000 0.500
In 0.257 0.743 0.750
In 0.743 0.257 0.250
Ag 0.462 0.538 0.250
Ag 0.538 0.462 0.750
Te 0.361 0.639 0.035
Te 0.361 0.639 0.465
Te 0.639 0.361 0.535
Te 0.639 0.361 0.965
Se 0.071 0.929 0.250
Se 0.929 0.071 0.750

Its space-group type is No. 63. The magnetization comes out at 0.005 μB per formula unit. For the electronic total energy, the calculation gives -4.74 eV/atom.



(6)
Compound: Li6CdBi
Source: OQMD
Functional: PBE-GGA
Structure: optimized geometry

Lattice parameters (Å, degrees): 4.535 4.535 6.667 90.00 90.00 90.00
Positions (direct):
Li 0.000 0.000 0.000
Li 0.000 0.500 0.248
Li 0.000 0.500 0.752
Li 0.500 0.000 0.248
Li 0.500 0.000 0.752
Li 0.500 0.500 0.500
Cd 0.500 0.500 0.000
Bi 0.000 0.000 0.500

Its space-group type is No. 123. For the electronic total energy, the calculation gives -2.38 eV/atom.



(7)
Compound: Pr6Ni6P17
Source: OQMD
Functional: PBE-GGA
Structure: optimized geometry

Lattice parameters (Å, degrees): 8.759 8.759 8.759 109.47 109.47 109.47
Positions (direct):
Pr 0.000 0.288 0.288
Pr 0.000 0.712 0.712
Pr 0.288 0.000 0.288
Pr 0.288 0.288 0.000
Pr 0.712 0.000 0.712
Pr 0.712 0.712 0.000
Ni 0.250 0.500 0.750
Ni 0.250 0.750 0.500
Ni 0.500 0.250 0.750
Ni 0.500 0.750 0.250
Ni 0.750 0.250 0.500
Ni 0.750 0.500 0.250
P 0.000 0.000 0.000
P 0.000 0.000 0.574
P 0.000 0.366 0.769
P 0.000 0.574 0.000
P 0.000 0.769 0.366
P 0.231 0.231 0.597
P 0.231 0.597 0.231
P 0.366 0.000 0.769
P 0.366 0.769 0.000
P 0.403 0.634 0.634
P 0.426 0.426 0.426
P 0.574 0.000 0.000
P 0.597 0.231 0.231
P 0.634 0.403 0.634
P 0.634 0.634 0.403
P 0.769 0.000 0.366
P 0.769 0.366 0.000

Its space-group type is No. 217. The magnetization comes out at 0.003 μB per formula unit. For the electronic total energy, the calculation gives -6.18 eV/atom.



(8)
Compound: NbFeBiIr
Source: OQMD
Functional: PBE-GGA
Structure: optimized geometry

Lattice parameters (Å, degrees): 4.624 4.624 4.624 60.00 60.00 60.00
Positions (direct):
Nb 0.000 0.000 0.000
Fe 0.750 0.750 0.750
Bi 0.500 0.500 0.500
Ir 0.250 0.250 0.250

Its space-group type is No. 216. The magnetization comes out at 1.747 μB per formula unit. For the electronic total energy, the calculation gives -7.53 eV/atom. The distance to the lowest polymorph of the same formula is 0 meV per atom.



(9)
Compound: SrUPt
Source: OQMD
Functional: PBE-GGA
Structure: optimized geometry

Lattice parameters (Å, degrees): 4.867 4.867 4.867 60.00 60.00 60.00
Positions (direct):
Sr 0.000 0.000 0.000
U 0.750 0.750 0.750
Pt 0.500 0.500 0.500

Its space-group type is No. 216. The magnetization comes out at 3.161 μB per formula unit. For the electronic total energy, the calculation gives -5.77 eV/atom.



(10)
Compound: CoBiSb2
Source: OQMD
Functional: PBE-GGA
Structure: optimized geometry

Lattice parameters (Å, degrees): 5.095 5.095 5.095 60.00 60.00 60.00
Positions (direct):
Co 0.000 0.000 0.000
Bi 0.750 0.750 0.750
Sb 0.250 0.250 0.250
Sb 0.500 0.500 0.500

Its space-group type is No. 216. The magnetization comes out at 1.388 μB per formula unit. For the electronic total energy, the calculation gives -4.26 eV/atom.



(11)
Compound: NaYBAu
Source: OQMD
Functional: PBE-GGA
Structure: optimized geometry

Lattice parameters (Å, degrees): 4.566 4.566 4.566 60.00 60.00 60.00
Positions (direct):
Na 0.000 0.000 0.000
Y 0.250 0.250 0.250
B 0.500 0.500 0.500
Au 0.750 0.750 0.750

Its space-group type is No. 216. The magnetization comes out at 0.001 μB per formula unit. For the electronic total energy, the calculation gives -4.22 eV/atom. The distance to the lowest polymorph of the same formula is 14 meV per atom.



(12)
Compound: NpBeTe
Source: OQMD
Functional: PBE-GGA
Structure: optimized geometry

Lattice parameters (Å, degrees): 4.466 4.466 4.466 60.00 60.00 60.00
Positions (direct):
Np 0.000 0.000 0.000
Be 0.250 0.250 0.250
Te 0.500 0.500 0.500

Its space-group type is No. 216. The magnetization comes out at 4.553 μB per formula unit. For the electronic total energy, the calculation gives -6.34 eV/atom. The distance to the lowest polymorph of the same formula is 0 meV per atom.



(13)
Compound: SrLiHoSe3
Source: OQMD
Functional: PBE-GGA
Structure: optimized geometry

Lattice parameters (Å, degrees): 13.822 4.147 10.814 90.00 90.00 90.00
Positions (direct):
Sr 0.227 0.250 0.034
Sr 0.273 0.750 0.534
Sr 0.727 0.250 0.466
Sr 0.773 0.750 0.966
Li 0.006 0.750 0.090
Li 0.494 0.250 0.590
Li 0.506 0.750 0.410
Li 0.994 0.250 0.910
Ho 0.016 0.250 0.333
Ho 0.484 0.750 0.833
Ho 0.516 0.250 0.167
Ho 0.984 0.750 0.667
Se 0.098 0.750 0.887
Se 0.107 0.250 0.569
Se 0.141 0.750 0.248
Se 0.359 0.250 0.748
Se 0.393 0.750 0.069
Se 0.402 0.250 0.387
Se 0.598 0.750 0.613
Se 0.607 0.250 0.931
Se 0.641 0.750 0.252
Se 0.859 0.250 0.752
Se 0.893 0.750 0.431
Se 0.902 0.250 0.113

Its space-group type is No. 62. The magnetization comes out at 0.001 μB per formula unit. For the electronic total energy, the calculation gives -4.88 eV/atom. The distance to the lowest polymorph of the same formula is 28 meV per atom.



(14)
Compound: LaHoBr2O2
Source: OQMD
Functional: PBE-GGA
Structure: optimized geometry

Lattice parameters (Å, degrees): 3.921 3.921 8.412 90.00 90.00 90.00
Positions (direct):
La 0.000 0.000 0.000
Ho 0.500 0.500 0.283
Br 0.000 0.000 0.479
Br 0.500 0.500 0.804
O 0.000 0.500 0.155
O 0.500 0.000 0.155

Its space-group type is No. 99. The magnetization comes out at 0.004 μB per formula unit. For the electronic total energy, the calculation gives -6.73 eV/atom.



(15)
Compound: SmInGe
Source: OQMD
Functional: PBE-GGA
Structure: optimized geometry

Lattice parameters (Å, degrees): 7.822 7.822 4.336 90.00 90.00 120.00
Positions (direct):
Sm 0.000 0.726 0.000
Sm 0.274 0.274 0.000
Sm 0.726 0.000 0.000
In 0.000 0.403 0.500
In 0.403 0.000 0.500
In 0.597 0.597 0.500
Ge 0.000 0.000 0.500
Ge 0.333 0.667 0.000
Ge 0.667 0.333 0.000

Its space-group type is No. 189. The magnetization comes out at 0.000 μB per formula unit. For the electronic total energy, the calculation gives -4.43 eV/atom.



(16)
Compound: LuHfFeSb
Source: OQMD
Functional: PBE-GGA
Structure: optimized geometry

Lattice parameters (Å, degrees): 4.786 4.786 4.786 60.00 60.00 60.00
Positions (direct):
Lu 0.000 0.000 0.000
Hf 0.750 0.750 0.750
Fe 0.500 0.500 0.500
Sb 0.250 0.250 0.250

Its space-group type is No. 216. The magnetization comes out at 1.335 μB per formula unit. For the electronic total energy, the calculation gives -6.53 eV/atom. The distance to the lowest polymorph of the same formula is 0 meV per atom.



(17)
Compound: PuGeW
Source: OQMD
Functional: PBE-GGA
Structure: optimized geometry

Lattice parameters (Å, degrees): 4.462 4.462 4.462 60.00 60.00 60.00
Positions (direct):
Pu 0.000 0.000 0.000
Ge 0.750 0.750 0.750
W 0.250 0.250 0.250

Its space-group type is No. 216. The magnetization comes out at 3.652 μB per formula unit. For the electronic total energy, the calculation gives -9.44 eV/atom. The distance to the lowest polymorph of the same formula is 720 meV per atom.



(18)
Compound: SmGePd
Source: OQMD
Functional: PBE-GGA
Structure: optimized geometry

Lattice parameters (Å, degrees): 4.618 4.618 4.618 60.00 60.00 60.00
Positions (direct):
Sm 0.000 0.000 0.000
Ge 0.500 0.500 0.500
Pd 0.750 0.750 0.750

Its space-group type is No. 216. The magnetization comes out at 0.237 μB per formula unit. For the electronic total energy, the calculation gives -5.56 eV/atom.



(19)
Compound: Y4Nb2Tl3C3
Source: OQMD
Functional: PBE-GGA
Structure: optimized geometry

Lattice parameters (Å, degrees): 6.045 6.045 15.753 101.76 101.76 60.28
Positions (direct):
Y 0.043 0.188 0.091
Y 0.123 0.302 0.409
Y 0.188 0.043 0.591
Y 0.302 0.123 0.909
Y 0.698 0.877 0.091
Y 0.812 0.957 0.409
Y 0.877 0.698 0.591
Y 0.957 0.812 0.909
Nb 0.347 0.524 0.069
Nb 0.476 0.653 0.431
Nb 0.524 0.347 0.569
Nb 0.653 0.476 0.931
Tl 0.127 0.873 0.250
Tl 0.288 0.419 0.754
Tl 0.419 0.288 0.254
Tl 0.581 0.712 0.746
Tl 0.712 0.581 0.246
Tl 0.873 0.127 0.750
C 0.000 0.500 0.000
C 0.204 0.648 0.500
C 0.352 0.796 0.000
C 0.500 0.000 0.500
C 0.648 0.204 0.000
C 0.796 0.352 0.500

Its space-group type is No. 15. The magnetization comes out at 0.003 μB per formula unit. For the electronic total energy, the calculation gives -7.14 eV/atom.



(20)
Compound: CuSn2Au
Source: OQMD
Functional: PBE-GGA
Structure: optimized geometry

Lattice parameters (Å, degrees): 4.305 4.305 5.336 90.00 90.00 120.00
Positions (direct):
Cu 0.000 0.000 0.000
Sn 0.333 0.667 0.770
Sn 0.667 0.333 0.230
Au 0.000 0.000 0.500

Its space-group type is No. 164. For the electronic total energy, the calculation gives -3.87 eV/atom. The distance to the lowest polymorph of the same formula is 0 meV per atom.